Record 1
A relaxed SrTl2Co crystal, computed with PBE. Values from VASP.

```
&SYSTEM
  ibrav = 0, nat = 4, ntyp = 3
/
ATOMIC_SPECIES
Sr 87.62 Sr.upf
Tl 204.38 Tl.upf
Co 58.93 Co.upf
ATOMIC_POSITIONS angstrom
Sr 0.000 0.000 0.000
Tl 1.751 1.751 2.390
Tl 1.751 1.751 5.427
Co 0.000 0.000 3.909
CELL_PARAMETERS angstrom
3.502 0.000 0.000
0.000 3.502 0.000
0.000 0.000 7.817
```

Computed properties:
* energy of formation from the pure elements: 0.1569 eV/atom
* volume: 95.9 Å³/f.u.
* total DFT energy (no corrections): -0.237 Ry per atom



Record 2
A relaxed SrTlCo2 crystal, computed with PBE. Values from VASP.

```
&SYSTEM
  ibrav = 0, nat = 8, ntyp = 3
/
ATOMIC_SPECIES
Sr 87.62 Sr.upf
Tl 204.38 Tl.upf
Co 58.93 Co.upf
ATOMIC_POSITIONS angstrom
Sr 0.000 0.000 0.000
Sr 1.784 2.545 4.762
Tl 0.000 2.545 7.557
Tl 1.784 0.000 2.795
Co 0.000 0.000 5.295
Co 0.000 2.545 1.893
Co 1.784 0.000 6.654
Co 1.784 2.545 0.533
CELL_PARAMETERS angstrom
3.568 0.000 0.000
0.000 5.089 0.000
0.000 0.000 9.524
```

Computed properties:
* energy of formation from the pure elements: 0.4047 eV/atom
* volume: 86.5 Å³/f.u.
* total DFT energy (no corrections): -0.306 Ry per atom
* ΔE to the lowest computed polymorph: 1.084 eV per formula unit



Record 3
A relaxed SrTl2Co crystal, computed with PBE. Values from VASP.

```
&SYSTEM
  ibrav = 0, nat = 8, ntyp = 3
/
ATOMIC_SPECIES
Sr 87.62 Sr.upf
Tl 204.38 Tl.upf
Co 58.93 Co.upf
ATOMIC_POSITIONS angstrom
Sr 0.000 0.000 0.000
Sr 3.207 5.453 0.000
Tl 0.729 2.726 1.555
Tl 0.729 8.179 1.555
Tl 3.936 2.726 1.555
Tl 3.936 8.179 1.555
Co 0.000 5.453 0.000
Co 3.207 0.000 0.000
CELL_PARAMETERS angstrom
6.414 0.000 0.000
0.000 10.905 0.000
-1.749 0.000 3.110
```

Computed properties:
* energy of formation from the pure elements: 0.4485 eV/atom
* volume: 108.8 Å³/f.u.
* total DFT energy (no corrections): -0.215 Ry per atom



Record 4
A relaxed SrTlCo2 crystal, computed with PBE. Values from VASP.

```
&SYSTEM
  ibrav = 0, nat = 8, ntyp = 3
/
ATOMIC_SPECIES
Sr 87.62 Sr.upf
Tl 204.38 Tl.upf
Co 58.93 Co.upf
ATOMIC_POSITIONS angstrom
Sr 0.000 0.000 0.000
Sr 3.885 2.244 0.000
Tl -1.300 2.244 2.697
Tl 2.584 0.000 2.697
Co -0.006 0.000 2.891
Co 1.291 2.244 2.503
Co 3.878 2.244 2.891
Co 5.175 0.000 2.503
CELL_PARAMETERS angstrom
7.769 0.000 0.000
0.000 4.488 0.000
-2.601 0.000 5.394
```

Computed properties:
* energy of formation from the pure elements: 0.2103 eV/atom
* volume: 94.0 Å³/f.u.
* total DFT energy (no corrections): -0.320 Ry per atom
* ΔE to the lowest computed polymorph: 0.307 eV per formula unit



Record 5
A relaxed SrTlCo2 crystal, computed with PBE. Values from VASP.

```
&SYSTEM
  ibrav = 0, nat = 4, ntyp = 3
/
ATOMIC_SPECIES
Sr 87.62 Sr.upf
Tl 204.38 Tl.upf
Co 58.93 Co.upf
ATOMIC_POSITIONS angstrom
Sr 0.000 0.000 0.000
Tl 1.734 0.000 2.812
Co 0.760 2.347 3.409
Co 2.707 2.347 2.215
CELL_PARAMETERS angstrom
3.813 0.000 0.000
0.000 4.694 0.000
-0.345 0.000 5.624
```

Computed properties:
* energy of formation from the pure elements: 0.5010 eV/atom
* volume: 100.7 Å³/f.u.
* total DFT energy (no corrections): -0.299 Ry per atom
* ΔE to the lowest computed polymorph: 1.470 eV per formula unit



Record 6
A relaxed Sr2TlCo crystal, computed with PBE. Values from VASP.

```
&SYSTEM
  ibrav = 0, nat = 8, ntyp = 3
/
ATOMIC_SPECIES
Sr 87.62 Sr.upf
Tl 204.38 Tl.upf
Co 58.93 Co.upf
ATOMIC_POSITIONS angstrom
Sr 0.000 0.000 0.000
Sr 0.790 0.000 3.428
Sr 6.196 1.953 0.000
Sr 6.986 1.953 3.428
Tl 2.914 1.953 1.429
Tl 9.111 0.000 1.429
Co 4.526 0.000 2.227
Co 10.723 1.953 2.227
CELL_PARAMETERS angstrom
12.393 0.000 0.000
0.000 3.907 0.000
-2.403 0.000 4.902
```

Computed properties:
* energy of formation from the pure elements: 0.1657 eV/atom
* volume: 118.7 Å³/f.u.
* total DFT energy (no corrections): -0.224 Ry per atom



Record 7
A relaxed SrTlCo2 crystal, computed with PBE. Values from VASP.

```
&SYSTEM
  ibrav = 0, nat = 8, ntyp = 3
/
ATOMIC_SPECIES
Sr 87.62 Sr.upf
Tl 204.38 Tl.upf
Co 58.93 Co.upf
ATOMIC_POSITIONS angstrom
Sr 0.000 0.000 0.000
Sr 3.327 3.332 0.000
Tl 0.000 3.332 0.000
Tl 3.327 0.000 0.000
Co 1.659 1.666 1.771
Co 1.659 4.998 1.771
Co 4.986 1.666 1.771
Co 4.986 4.998 1.771
CELL_PARAMETERS angstrom
6.653 0.000 0.000
0.000 6.664 0.000
-0.008 0.000 3.542
```

Computed properties:
* energy of formation from the pure elements: 0.6467 eV/atom
* volume: 78.5 Å³/f.u.
* total DFT energy (no corrections): -0.288 Ry per atom
* ΔE to the lowest computed polymorph: 2.053 eV per formula unit



Record 8
A relaxed SrTl2Co crystal, computed with PBE. Values from VASP.

```
&SYSTEM
  ibrav = 0, nat = 12, ntyp = 3
/
ATOMIC_SPECIES
Sr 87.62 Sr.upf
Tl 204.38 Tl.upf
Co 58.93 Co.upf
ATOMIC_POSITIONS angstrom
Sr 0.000 0.000 0.000
Sr 0.000 2.658 11.649
Sr 2.302 1.329 5.824
Tl 0.000 0.000 9.603
Tl 0.000 0.000 13.791
Tl 0.000 2.658 3.778
Tl 0.000 2.658 7.966
Tl 2.302 1.329 2.142
Tl 2.302 1.329 15.427
Co 0.000 0.000 3.188
Co 0.000 2.658 14.837
Co 2.302 1.329 9.012
CELL_PARAMETERS angstrom
4.603 0.000 0.000
-2.302 3.987 0.000
0.000 0.000 17.473
```

Computed properties:
* energy of formation from the pure elements: 0.1123 eV/atom
* volume: 106.9 Å³/f.u.
* total DFT energy (no corrections): -0.240 Ry per atom



Record 9
A relaxed SrTlCo2 crystal, computed with PBE. Values from VASP.

```
&SYSTEM
  ibrav = 0, nat = 4, ntyp = 3
/
ATOMIC_SPECIES
Sr 87.62 Sr.upf
Tl 204.38 Tl.upf
Co 58.93 Co.upf
ATOMIC_POSITIONS angstrom
Sr 0.000 0.000 0.000
Tl 0.000 0.000 3.331
Co 1.797 1.797 2.187
Co 1.797 1.797 4.476
CELL_PARAMETERS angstrom
3.593 0.000 0.000
0.000 3.593 0.000
0.000 0.000 6.663
```

Computed properties:
* energy of formation from the pure elements: 0.5170 eV/atom
* volume: 86.0 Å³/f.u.
* total DFT energy (no corrections): -0.298 Ry per atom
* ΔE to the lowest computed polymorph: 1.533 eV per formula unit



Record 10
A relaxed Sr2TlCo crystal, computed with PBE. Values from VASP.

```
&SYSTEM
  ibrav = 0, nat = 8, ntyp = 3
/
ATOMIC_SPECIES
Sr 87.62 Sr.upf
Tl 204.38 Tl.upf
Co 58.93 Co.upf
ATOMIC_POSITIONS angstrom
Sr 1.223 0.000 1.907
Sr 0.154 1.993 7.337
Sr 4.784 1.993 1.907
Sr 3.715 0.000 7.337
Tl -1.092 0.000 4.622
Tl 2.469 1.993 4.622
Co 0.000 1.993 0.000
Co 3.561 0.000 0.000
CELL_PARAMETERS angstrom
7.122 0.000 0.000
0.000 3.986 0.000
-2.184 0.000 9.243
```

Computed properties:
* energy of formation from the pure elements: 0.2778 eV/atom
* volume: 131.2 Å³/f.u.
* total DFT energy (no corrections): -0.215 Ry per atom



Record 11
A relaxed Sr2TlCo crystal, computed with PBE. Values from VASP.

```
&SYSTEM
  ibrav = 0, nat = 4, ntyp = 3
/
ATOMIC_SPECIES
Sr 87.62 Sr.upf
Tl 204.38 Tl.upf
Co 58.93 Co.upf
ATOMIC_POSITIONS angstrom
Sr 0.000 0.000 2.312
Sr 3.813 0.000 5.890
Tl 1.912 1.879 0.000
Co 1.907 1.879 4.101
CELL_PARAMETERS angstrom
3.824 0.000 0.000
0.000 3.758 0.000
-0.011 0.000 8.202
```

Computed properties:
* energy of formation from the pure elements: 0.1545 eV/atom
* volume: 117.9 Å³/f.u.
* total DFT energy (no corrections): -0.224 Ry per atom



Record 12
A relaxed SrTl2Co crystal, computed with PBE. Values from VASP.

```
&SYSTEM
  ibrav = 0, nat = 8, ntyp = 3
/
ATOMIC_SPECIES
Sr 87.62 Sr.upf
Tl 204.38 Tl.upf
Co 58.93 Co.upf
ATOMIC_POSITIONS angstrom
Sr 0.000 0.000 0.000
Sr 1.877 2.803 4.941
Tl 0.000 2.803 2.009
Tl 0.000 2.803 7.872
Tl 1.877 0.000 2.931
Tl 1.877 0.000 6.950
Co 0.000 0.000 4.941
Co 1.877 2.803 0.000
CELL_PARAMETERS angstrom
3.754 0.000 0.000
0.000 5.606 0.000
0.000 0.000 9.881
```

Computed properties:
* energy of formation from the pure elements: 0.1581 eV/atom
* volume: 104.0 Å³/f.u.
* total DFT energy (no corrections): -0.237 Ry per atom



Record 13
A relaxed Sr2TlCo crystal, computed with PBE. Values from VASP.

```
&SYSTEM
  ibrav = 0, nat = 4, ntyp = 3
/
ATOMIC_SPECIES
Sr 87.62 Sr.upf
Tl 204.38 Tl.upf
Co 58.93 Co.upf
ATOMIC_POSITIONS angstrom
Sr 0.000 2.733 0.000
Sr 2.733 0.000 0.000
Tl 0.000 0.000 2.016
Co 2.733 2.733 2.016
CELL_PARAMETERS angstrom
5.466 0.000 0.000
0.000 5.466 0.000
0.000 0.000 4.033
```

Computed properties:
* energy of formation from the pure elements: 0.1930 eV/atom
* volume: 120.5 Å³/f.u.
* total DFT energy (no corrections): -0.222 Ry per atom



Record 14
A relaxed SrTl2Co crystal, computed with PBE. Values from VASP.

```
&SYSTEM
  ibrav = 0, nat = 4, ntyp = 3
/
ATOMIC_SPECIES
Sr 87.62 Sr.upf
Tl 204.38 Tl.upf
Co 58.93 Co.upf
ATOMIC_POSITIONS angstrom
Sr 0.000 0.000 0.000
Tl 0.000 2.351 2.441
Tl 2.269 0.000 2.441
Co 2.269 2.351 0.000
CELL_PARAMETERS angstrom
4.538 0.000 0.000
0.000 4.703 0.000
0.000 0.000 4.882
```

Computed properties:
* energy of formation from the pure elements: 0.3080 eV/atom
* volume: 104.2 Å³/f.u.
* total DFT energy (no corrections): -0.226 Ry per atom



Record 15
A relaxed SrTl2VCo crystal, computed with PBE. Values from VASP.

```
&SYSTEM
  ibrav = 0, nat = 5, ntyp = 4
/
ATOMIC_SPECIES
Sr 87.62 Sr.upf
Tl 204.38 Tl.upf
V 50.94 V.upf
Co 58.93 Co.upf
ATOMIC_POSITIONS angstrom
Sr 0.000 0.000 0.000
Tl 0.000 2.530 2.636
Tl 2.530 0.000 2.636
V 2.530 2.530 0.000
Co 0.000 0.000 2.636
CELL_PARAMETERS angstrom
5.060 0.000 0.000
0.000 5.060 0.000
0.000 0.000 5.272
```

Computed properties:
* energy of formation from the pure elements: 0.9072 eV/atom
* volume: 135.0 Å³/f.u.
* total DFT energy (no corrections): -0.266 Ry per atom



Record 16
A relaxed SrTlVCo2 crystal, computed with PBE. Values from VASP.

```
&SYSTEM
  ibrav = 0, nat = 5, ntyp = 4
/
ATOMIC_SPECIES
Sr 87.62 Sr.upf
Tl 204.38 Tl.upf
V 50.94 V.upf
Co 58.93 Co.upf
ATOMIC_POSITIONS angstrom
Sr 0.000 0.000 0.000
Tl 0.000 0.000 2.865
V 2.448 2.448 0.000
Co 0.000 2.448 2.865
Co 2.448 0.000 2.865
CELL_PARAMETERS angstrom
4.897 0.000 0.000
0.000 4.897 0.000
0.000 0.000 5.730
```

Computed properties:
* energy of formation from the pure elements: 1.7887 eV/atom
* volume: 137.4 Å³/f.u.
* total DFT energy (no corrections): -0.271 Ry per atom



Record 17
A relaxed SrY2TlCo crystal, computed with PBE. Values from VASP.

```
&SYSTEM
  ibrav = 0, nat = 5, ntyp = 4
/
ATOMIC_SPECIES
Sr 87.62 Sr.upf
Y 88.91 Y.upf
Tl 204.38 Tl.upf
Co 58.93 Co.upf
ATOMIC_POSITIONS angstrom
Sr 0.000 0.000 0.000
Y 0.000 2.617 2.635
Y 2.617 0.000 2.635
Tl 2.617 2.617 0.000
Co 2.617 2.617 2.635
CELL_PARAMETERS angstrom
5.233 0.000 0.000
0.000 5.233 0.000
0.000 0.000 5.270
```

Computed properties:
* energy of formation from the pure elements: -0.0611 eV/atom
* volume: 144.3 Å³/f.u.
* total DFT energy (no corrections): -0.358 Ry per atom



Record 18
A relaxed SrTlZn2Co crystal, computed with PBE. Values from VASP.

```
&SYSTEM
  ibrav = 0, nat = 5, ntyp = 4
/
ATOMIC_SPECIES
Sr 87.62 Sr.upf
Tl 204.38 Tl.upf
Zn 65.41 Zn.upf
Co 58.93 Co.upf
ATOMIC_POSITIONS angstrom
Sr 0.000 0.000 0.000
Tl 2.390 2.390 0.000
Zn 0.000 2.390 2.484
Zn 2.390 0.000 2.484
Co 2.390 2.390 2.484
CELL_PARAMETERS angstrom
4.780 0.000 0.000
0.000 4.780 0.000
0.000 0.000 4.969
```

Computed properties:
* energy of formation from the pure elements: -0.0625 eV/atom
* volume: 113.5 Å³/f.u.
* total DFT energy (no corrections): -0.206 Ry per atom



Record 19
A relaxed SrTl2ZnCo crystal, computed with PBE. Values from VASP.

```
&SYSTEM
  ibrav = 0, nat = 5, ntyp = 4
/
ATOMIC_SPECIES
Sr 87.62 Sr.upf
Tl 204.38 Tl.upf
Zn 65.41 Zn.upf
Co 58.93 Co.upf
ATOMIC_POSITIONS angstrom
Sr 0.000 0.000 0.000
Tl 0.000 2.536 2.417
Tl 2.536 0.000 2.417
Zn 2.536 2.536 0.000
Co 2.536 2.536 2.417
CELL_PARAMETERS angstrom
5.073 0.000 0.000
0.000 5.073 0.000
0.000 0.000 4.835
```

Computed properties:
* energy of formation from the pure elements: -0.0252 eV/atom
* volume: 124.4 Å³/f.u.
* total DFT energy (no corrections): -0.219 Ry per atom



Record 20
A relaxed SrVCo2 crystal, computed with PBE. Values from VASP.

```
&SYSTEM
  ibrav = 0, nat = 16, ntyp = 3
/
ATOMIC_SPECIES
Sr 87.62 Sr.upf
V 50.94 V.upf
Co 58.93 Co.upf
ATOMIC_POSITIONS angstrom
Sr 0.000 0.000 0.000
Sr 0.000 3.229 3.229
Sr 3.229 0.000 3.229
Sr 3.229 3.229 0.000
V 0.000 0.000 3.229
V 0.000 3.229 0.000
V 3.229 0.000 0.000
V 3.229 3.229 3.229
Co 1.615 1.615 1.615
Co 1.615 1.615 4.844
Co 1.615 4.844 1.615
Co 1.615 4.844 4.844
Co 4.844 1.615 1.615
Co 4.844 1.615 4.844
Co 4.844 4.844 1.615
Co 4.844 4.844 4.844
CELL_PARAMETERS angstrom
6.458 0.000 0.000
0.000 6.458 0.000
0.000 0.000 6.458
```

Computed properties:
* energy of formation from the pure elements: 0.7590 eV/atom
* volume: 67.3 Å³/f.u.
* total DFT energy (no corrections): -0.404 Ry per atom
* ΔE to the lowest computed polymorph: 0.627 eV per formula unit